Material: InGa4H2
Method: DFT, GGA-PBE
State: relaxed

a b c (Å): 4.6553 3.0096 8.4392
angles (deg): 90.00 106.00 90.00
Closest atoms and distances in Å follow each position.
Space group P2/m (No. 10)
Asymmetric unit:
In 0.0000 0.0000 0.0000 (multiplicity 1)  2 In 3.01, 10 Ga 3.08-3.34
Ga 0.1903 0.0000 0.3794 (multiplicity 2)  2 H 1.94
Ga 0.3833 0.5000 0.7708 (multiplicity 2)  1 H 1.95
H 0.2647 0.5000 0.5304 (multiplicity 2)  3 Ga 1.94-1.95

## Properties
For the total energy, the calculation gives -2.84 eV per atom.